Entry 1
# FePSCl2 GGA-PBE relaxed
# Total magnetic moment   3.92 Bohr magnetons per cell
data_FePSCl2
_chemical_formula_sum 'Fe1 P1 S1 Cl2'
_cell_length_a 4.693
_cell_length_b 4.693
_cell_length_c 4.809
_cell_angle_alpha 90.00
_cell_angle_beta 90.00
_cell_angle_gamma 90.00
_symmetry_space_group_name_H-M 'P 4/m m m'
_symmetry_Int_Tables_number 123
_symmetry_space_group_name_Hall '-P 4 2'
loop_
_atom_site_label
_atom_site_fract_x
_atom_site_fract_y
_atom_site_fract_z
_atom_site_occupancy
Fe1 0.000 0.000 0.000 1
P1 0.500 0.500 0.000 1
S1 0.500 0.500 0.500 1
Cl1 0.000 0.500 0.500 1

Entry 2
# FePSCl2 GGA-PBE relaxed
# Total magnetic moment   3.71 Bohr magnetons per cell
data_FePSCl2
_chemical_formula_sum 'Fe1 P1 S1 Cl2'
_cell_length_a 4.731
_cell_length_b 4.731
_cell_length_c 4.681
_cell_angle_alpha 90.00
_cell_angle_beta 90.00
_cell_angle_gamma 90.00
_symmetry_space_group_name_H-M 'P 4/m m m'
_symmetry_Int_Tables_number 123
_symmetry_space_group_name_Hall '-P 4 2'
loop_
_atom_site_label
_atom_site_fract_x
_atom_site_fract_y
_atom_site_fract_z
_atom_site_occupancy
Fe1 0.000 0.000 0.000 1
P1 0.500 0.500 0.500 1
S1 0.500 0.500 0.000 1
Cl1 0.000 0.500 0.500 1

Each structure's energy above the most stable one, in eV/atom: entry 1 0.424; entry 2 0.000.